The following is a PBE-GGA calculation of YCoNiGe after structural relaxation, from OQMD via LeMat-Bulk.

a = 4.508 Å, b = 4.508 Å, c = 4.508 Å
α = 60.00°, β = 60.00°, γ = 60.00°
Positions (direct):
Ge1 0.000 0.000 0.000
Y1 0.250 0.250 0.250
Ni1 0.500 0.500 0.500
Co1 0.750 0.750 0.750

## Properties
relative energy among the computed polymorphs: 19.3 kJ/mol of atoms

The following is a PBE-GGA calculation of YCoNiGe after structural relaxation, from OQMD via LeMat-Bulk.

a = 4.419 Å, b = 4.419 Å, c = 4.419 Å
α = 60.00°, β = 60.00°, γ = 60.00°
Positions (direct):
Ni1 0.250 0.250 0.250
Y1 0.500 0.500 0.500
Co1 0.750 0.750 0.750
Ge1 0.000 0.000 0.000

## Properties
relative energy among the computed polymorphs: 0.0 kJ/mol of atoms

The following is a PBE-GGA calculation of Y2CoNiGe4 after structural relaxation, from OQMD via LeMat-Bulk.

a = 4.183 Å, b = 8.545 Å, c = 8.545 Å
α = 27.76°, β = 90.00°, γ = 90.00°
Positions (direct):
Ni1 0.500 0.679 0.679
Y1 0.500 0.892 0.892
Y2 0.000 0.109 0.109
Ge1 0.500 0.541 0.541
Ge2 0.500 0.253 0.253
Ge3 0.000 0.750 0.750
Ge4 0.000 0.457 0.457
Co1 0.000 0.320 0.320

The following is a PBE-GGA calculation of ZnCoNiGe after structural relaxation, from OQMD via LeMat-Bulk.

a = 4.090 Å, b = 4.090 Å, c = 4.090 Å
α = 60.00°, β = 60.00°, γ = 60.00°
Each line ends with the local moment (μB).
Positions (direct):
Ge1 0.000 0.000 0.000  0.00
Co1 0.250 0.250 0.250  0.62
Ni1 0.750 0.750 0.750  0.18
Zn1 0.500 0.500 0.500  -0.01

## Properties
relative energy among the computed polymorphs: 0.0 kJ/mol of atoms

The following is a PBE-GGA calculation of ZnCoNiGe after structural relaxation, from OQMD via LeMat-Bulk.

a = 4.116 Å, b = 4.116 Å, c = 4.116 Å
α = 60.00°, β = 60.00°, γ = 60.00°
Each line ends with the local moment (μB).
Positions (direct):
Ni1 0.500 0.500 0.500  0.01
Co1 0.250 0.250 0.250  0.14
Zn1 0.750 0.750 0.750  0.00
Ge1 0.000 0.000 0.000  -0.01

## Properties
relative energy among the computed polymorphs: 21.1 kJ/mol of atoms

Record order is preserved below.
Electronic total energy: -6.027, -6.227, -6.188, -4.811, -4.592 eV/atom